8
Lattice="-1.8582 -3.4863 -4.7834 5.4867 -2.8956 -0.0210 -2.2208 -4.2367 3.9506" Properties=species:S:1:pos:R:3 comment="YI, optimized geometry, DFT PBE" spacegroup="No. 225" formation_energy_uncorrected_mev_per_atom=-426 total_energy_ev_per_atom=-4.433 m_tot_mub_per_fu=0.00 pbc="T T T"
Y 1.6330 -3.5661 1.9648
Y -2.0395 -3.8615 -0.4164
Y 1.8143 -3.1909 -2.4022
Y 0.0000 0.0000 0.0000
I 2.7433 -1.4478 -0.0105
I 0.7039 -5.3093 -0.4269
I -0.9291 -1.7432 -2.3917
I -1.1104 -2.1184 1.9753

***

8
Lattice="11.1190 0.0000 0.0022 0.0000 3.9650 0.0000 -0.0341 0.0000 6.8719" Properties=species:S:1:pos:R:3 comment="YI, optimized geometry, DFT PBE" spacegroup="No. 8" formation_energy_uncorrected_mev_per_atom=-879 total_energy_ev_per_atom=-4.886 m_tot_mub_per_fu=0.69 pbc="T T T"
I 2.0286 0.0000 2.2847
I 6.1263 1.9825 1.1056
I 6.1092 0.0000 4.5415
I 2.0115 1.9825 5.7207
Y 10.9916 0.0000 6.8579
Y 8.2169 1.9825 5.6986
Y 8.2339 0.0000 2.2627
Y 11.0086 1.9825 3.4220

***

8
Lattice="6.1670 0.0000 0.0000 0.0000 6.1670 0.0000 0.0000 0.0000 6.2468" Properties=species:S:1:pos:R:3 comment="YI, optimized geometry, DFT PBE" spacegroup="No. 136" formation_energy_uncorrected_mev_per_atom=-478 total_energy_ev_per_atom=-4.485 m_tot_mub_per_fu=0.00 pbc="T T T"
Y 1.8262 4.3408 0.0000
Y 1.2573 1.2573 3.1234
Y 4.9097 4.9097 3.1234
Y 4.3408 1.8262 0.0000
I 1.2870 1.2870 0.0000
I 4.3705 1.7965 3.1234
I 4.8800 4.8800 0.0000
I 1.7965 4.3705 3.1234

***

10
Lattice="7.1324 0.0000 0.0000 3.5662 6.1769 0.0000 3.5662 2.0590 7.9847" Properties=species:S:1:pos:R:3 comment="Y2I3, optimized geometry, DFT PBE" spacegroup="No. 167" formation_energy_uncorrected_mev_per_atom=-881 total_energy_ev_per_atom=-4.397 m_tot_mub_per_fu=1.46 pbc="T T T"
Y 3.5662 2.0590 3.9025
Y 10.6987 6.1769 4.0822
Y 10.6987 6.1769 7.8949
Y 3.5662 2.0590 0.0898
I 6.0014 6.1769 5.9885
I 5.9149 2.1089 5.9885
I 8.2635 2.0590 1.9962
I 8.3500 6.1269 1.9962
I 4.7838 4.1679 1.9962
I 9.4811 4.0680 5.9885